1.
{"formula": "LaDyMgCd", "functional": "GGA-PBE", "state": "relaxed", "lattice": [[3.8180, 0.0000, 0.0000], [0.0000, 3.8180, 0.0000], [0.0000, 0.0000, 7.8467]], "species": ["La", "Dy", "Mg", "Cd"], "frac_coords": [[0.0000, 0.0000, 0.0000], [0.0000, 0.0000, 0.5019], [0.5000, 0.5000, 0.2682], [0.5000, 0.5000, 0.7260]], "n_ef_per_ev_fu": 4.858, "energy_ha_per_atom": -0.1181, "ef_ev_per_atom": -0.20, "vol_a3_per_atom": 28.60, "de_polymorph_mev_per_atom": 0}



2.
{"formula": "NaH3Pd", "functional": "GGA-PBE", "state": "relaxed", "lattice": [[6.5918, 0.0000, 0.0000], [0.0000, 4.8874, 0.0000], [-2.8000, 0.0000, 6.0593]], "species": ["Na", "Na", "Na", "Na", "H", "H", "H", "H", "H", "H", "H", "H", "H", "H", "H", "H", "Pd", "Pd", "Pd", "Pd"], "frac_coords": [[0.1220, 0.2501, 0.1459], [0.1220, 0.2499, 0.6459], [0.8780, 0.7501, 0.3541], [0.8780, 0.7499, 0.8541], [0.1253, 0.7042, 0.2087], [0.1253, 0.7958, 0.7087], [0.3460, 0.0698, 0.4717], [0.3460, 0.4302, 0.9717], [0.4252, 0.5745, 0.6167], [0.4252, 0.9255, 0.1167], [0.5748, 0.0745, 0.8833], [0.5748, 0.4255, 0.3833], [0.6540, 0.5698, 0.0283], [0.6540, 0.9302, 0.5283], [0.8747, 0.2042, 0.2913], [0.8747, 0.2958, 0.7913], [0.4110, 0.7406, 0.8668], [0.4110, 0.7594, 0.3668], [0.5890, 0.2406, 0.6332], [0.5890, 0.2594, 0.1332]], "n_ef_per_ev_fu": 0.127, "energy_ha_per_atom": -0.1271, "vol_a3_per_atom": 9.76, "de_polymorph_mev_per_atom": 120}



3.
{"formula": "Tb5InRh4", "functional": "GGA-PBE", "state": "relaxed", "lattice": [[3.4953, 0.0000, 0.0000], [0.0000, 3.4953, 0.0000], [0.0000, 0.0000, 17.7600]], "species": ["Tb", "Tb", "Tb", "Tb", "Tb", "In", "Rh", "Rh", "Rh", "Rh"], "frac_coords": [[0.0000, 0.0000, 0.0000], [0.0000, 0.0000, 0.1900], [0.0000, 0.0000, 0.3785], [0.0000, 0.0000, 0.6215], [0.0000, 0.0000, 0.8100], [0.5000, 0.5000, 0.5000], [0.5000, 0.5000, 0.0949], [0.5000, 0.5000, 0.2864], [0.5000, 0.5000, 0.7136], [0.5000, 0.5000, 0.9051]], "n_ef_per_ev_fu": 6.920, "energy_ha_per_atom": -0.2314, "ef_ev_per_atom": -0.77, "vol_a3_per_atom": 21.70}



4.
{"formula": "Li2CaAg5", "functional": "GGA-PBE", "state": "relaxed", "lattice": [[4.1627, 0.0000, 0.0000], [0.0000, 7.5819, 0.0000], [0.0000, 0.0000, 9.8500]], "species": ["Li", "Li", "Li", "Li", "Ca", "Ca", "Ag", "Ag", "Ag", "Ag", "Ag", "Ag", "Ag", "Ag", "Ag", "Ag"], "frac_coords": [[0.0000, 0.0000, 0.2475], [0.0000, 0.0000, 0.7525], [0.5000, 0.5000, 0.2525], [0.5000, 0.5000, 0.7475], [0.0000, 0.5000, 0.5000], [0.5000, 0.0000, 0.0000], [0.0000, 0.0000, 0.5000], [0.0000, 0.3076, 0.1483], [0.0000, 0.3076, 0.8517], [0.0000, 0.6924, 0.1483], [0.0000, 0.6924, 0.8517], [0.5000, 0.1924, 0.3517], [0.5000, 0.1924, 0.6483], [0.5000, 0.5000, 0.0000], [0.5000, 0.8076, 0.3517], [0.5000, 0.8076, 0.6483]], "n_ef_per_ev_fu": 3.126, "energy_ha_per_atom": -0.0962, "ef_ev_per_atom": -0.11, "vol_a3_per_atom": 19.43}



5.
{"formula": "Ac2Ni2Ge2C", "functional": "GGA-PBE", "state": "relaxed", "lattice": [[11.6670, 0.0000, 0.0000], [0.0000, 4.2224, 0.0000], [-4.4752, 0.0000, 5.7959]], "species": ["Ac", "Ac", "Ac", "Ac", "Ni", "Ni", "Ni", "Ni", "Ge", "Ge", "Ge", "Ge", "C", "C"], "frac_coords": [[0.0552, 0.0000, 0.3069], [0.4448, 0.5000, 0.6931], [0.5552, 0.5000, 0.3069], [0.9448, 0.0000, 0.6931], [0.1826, 0.5000, 0.7617], [0.3174, 0.0000, 0.2383], [0.6826, 0.0000, 0.7617], [0.8174, 0.5000, 0.2383], [0.1918, 0.5000, 0.1094], [0.3082, 0.0000, 0.8906], [0.6918, 0.0000, 0.1094], [0.8082, 0.5000, 0.8906], [0.0000, 0.5000, 0.5000], [0.5000, 0.0000, 0.5000]], "n_ef_per_ev_fu": 4.423, "energy_ha_per_atom": -0.2172, "ef_ev_per_atom": -0.45, "vol_a3_per_atom": 20.39}



6.
{"formula": "BaCdOs", "functional": "GGA-PBE", "state": "relaxed", "lattice": [[3.3593, 0.0000, 0.0000], [-1.6796, 2.9092, 0.0000], [0.0000, 0.0000, 7.7324]], "species": ["Ba", "Cd", "Os"], "frac_coords": [[0.0000, 0.0000, 0.0000], [0.6667, 0.3333, 0.4226], [0.3333, 0.6667, 0.6909]], "n_ef_per_ev_fu": 3.538, "energy_ha_per_atom": -0.1345, "ef_ev_per_atom": 1.03, "vol_a3_per_atom": 25.19}



7.
{"formula": "AsSeCl2", "functional": "GGA-PBE", "state": "relaxed", "lattice": [[3.7047, 0.0000, 0.0000], [-1.8524, 3.2084, 0.0000], [0.0000, 0.0000, 25.7913]], "species": ["As", "As", "As", "Se", "Se", "Se", "Cl", "Cl", "Cl", "Cl", "Cl", "Cl"], "frac_coords": [[0.0000, 0.0000, 0.0000], [0.3333, 0.6667, 0.6667], [0.6667, 0.3333, 0.3333], [0.0000, 0.0000, 0.2768], [0.3333, 0.6667, 0.9435], [0.6667, 0.3333, 0.6102], [0.0000, 0.0000, 0.5333], [0.0000, 0.0000, 0.7341], [0.3333, 0.6667, 0.2000], [0.3333, 0.6667, 0.4007], [0.6667, 0.3333, 0.0674], [0.6667, 0.3333, 0.8666]], "raw_formation_energy_ev_per_atom": -0.100, "n_ef_per_ev_fu": 3.767, "energy_ha_per_atom": -0.1123, "vol_a3_per_atom": 25.55, "de_polymorph_mev_per_atom": 224}



Copy entry 2 word for word.
{"formula": "NaH3Pd", "functional": "GGA-PBE", "state": "relaxed", "lattice": [[6.5918, 0.0000, 0.0000], [0.0000, 4.8874, 0.0000], [-2.8000, 0.0000, 6.0593]], "species": ["Na", "Na", "Na", "Na", "H", "H", "H", "H", "H", "H", "H", "H", "H", "H", "H", "H", "Pd", "Pd", "Pd", "Pd"], "frac_coords": [[0.1220, 0.2501, 0.1459], [0.1220, 0.2499, 0.6459], [0.8780, 0.7501, 0.3541], [0.8780, 0.7499, 0.8541], [0.1253, 0.7042, 0.2087], [0.1253, 0.7958, 0.7087], [0.3460, 0.0698, 0.4717], [0.3460, 0.4302, 0.9717], [0.4252, 0.5745, 0.6167], [0.4252, 0.9255, 0.1167], [0.5748, 0.0745, 0.8833], [0.5748, 0.4255, 0.3833], [0.6540, 0.5698, 0.0283], [0.6540, 0.9302, 0.5283], [0.8747, 0.2042, 0.2913], [0.8747, 0.2958, 0.7913], [0.4110, 0.7406, 0.8668], [0.4110, 0.7594, 0.3668], [0.5890, 0.2406, 0.6332], [0.5890, 0.2594, 0.1332]], "n_ef_per_ev_fu": 0.127, "energy_ha_per_atom": -0.1271, "vol_a3_per_atom": 9.76, "de_polymorph_mev_per_atom": 120}